Entry 1:
## LaIn2Sn (PBE)

Data for crystalline LaIn2Sn at its relaxed geometry.

a b c (Å): 8.620 8.620 6.915
angles (deg): 51.44 51.44 90.00
Atoms (fractional coordinates):
La 0.000 0.000 0.000
La 0.750 0.250 0.500
In 0.591 0.125 0.250
In 0.375 0.409 0.750
In 0.159 0.625 0.250
In 0.875 0.841 0.750
Sn 0.500 0.500 0.000
Sn 0.250 0.750 0.500

## Properties
- Formation energy: -308 meV per atom


Entry 2:
## LaIn3Sn2 (PBE)

Data for crystalline LaIn3Sn2 at its relaxed geometry.

a b c (Å): 5.209 5.145 6.725
angles (deg): 112.49 90.00 90.00
Atoms (fractional coordinates):
In 0.500 0.172 0.344
In 0.500 0.500 0.000
In 0.500 0.828 0.656
La 0.000 0.000 0.000
Sn 0.000 0.316 0.631
Sn 0.000 0.684 0.369

## Properties
- Formation energy: -262 meV per atom


Entry 3:
## LaInSn3 (PBE)

Data for crystalline LaInSn3 at its relaxed geometry.

a b c (Å): 5.555 5.555 5.555
angles (deg): 90.00 90.00 90.00
Atoms (fractional coordinates):
Sn 0.000 0.500 0.000
Sn 0.000 0.000 0.500
Sn 0.500 0.000 0.000
La 0.500 0.500 0.500
In 0.000 0.000 0.000

## Properties
- Formation energy: 209 meV per atom
- Offset from the most stable computed form: 53.9 kJ/mol of atoms


Entry 4:
## La4InSn5 (PBE)

Data for crystalline La4InSn5 at its relaxed geometry.

a b c (Å): 4.692 11.662 11.382
angles (deg): 90.00 90.00 90.00
Atoms (fractional coordinates):
La 0.750 0.692 0.500
La 0.250 0.500 0.784
La 0.250 0.500 0.216
La 0.250 0.192 0.000
La 0.250 0.808 0.000
La 0.750 0.000 0.284
La 0.750 0.308 0.500
La 0.750 0.000 0.716
In 0.250 0.500 0.500
In 0.750 0.000 0.000
Sn 0.750 0.293 0.819
Sn 0.250 0.207 0.681
Sn 0.750 0.500 0.000
Sn 0.250 0.000 0.500
Sn 0.750 0.293 0.181
Sn 0.750 0.707 0.181
Sn 0.250 0.207 0.319
Sn 0.750 0.707 0.819
Sn 0.250 0.793 0.319
Sn 0.250 0.793 0.681

## Properties
- Formation energy: -606 meV per atom


Entry 5:
## La2In8Sn (PBE)

Data for crystalline La2In8Sn at its relaxed geometry.

a b c (Å): 4.943 4.943 12.866
angles (deg): 90.00 90.00 90.00
Atoms (fractional coordinates):
In 0.500 0.500 0.325
In 0.000 0.500 0.143
In 0.500 0.000 0.500
In 0.500 0.000 0.857
In 0.500 0.500 0.675
In 0.000 0.500 0.500
In 0.000 0.500 0.857
In 0.500 0.000 0.143
Sn 0.000 0.000 0.000
La 0.000 0.000 0.678
La 0.000 0.000 0.322

## Properties
- Formation energy: -282 meV per atom


Entry 6:
## LaIn3Sn (PBE)

Data for crystalline LaIn3Sn at its relaxed geometry.

a b c (Å): 5.253 7.410 7.362
angles (deg): 90.00 90.00 90.00
Atoms (fractional coordinates):
In 0.500 0.195 0.762
In 0.000 0.000 0.974
In 0.000 0.695 0.238
In 0.500 0.500 0.026
In 0.500 0.805 0.762
In 0.000 0.305 0.238
Sn 0.000 0.000 0.581
Sn 0.500 0.500 0.419
La 0.500 0.000 0.296
La 0.000 0.500 0.704

## Properties
- Formation energy: -253 meV per atom
- Offset from the most stable computed form: 0.0 kJ/mol of atoms


Entry 7:
## LaInSn2 (PBE)

Data for crystalline LaInSn2 at its relaxed geometry.

a b c (Å): 4.814 4.791 4.791
angles (deg): 90.00 90.00 90.00
Atoms (fractional coordinates):
Sn 0.000 0.000 0.500
Sn 0.000 0.500 0.000
La 0.500 0.500 0.500
In 0.500 0.000 0.000

## Properties
- Formation energy: -564 meV per atom


Entry 8:
## LaIn3Sn (PBE)

Data for crystalline LaIn3Sn at its relaxed geometry.

a b c (Å): 5.582 5.582 5.582
angles (deg): 90.00 90.00 90.00
Atoms (fractional coordinates):
In 0.000 0.000 0.500
In 0.500 0.000 0.000
In 0.000 0.500 0.000
Sn 0.000 0.000 0.000
La 0.500 0.500 0.500

## Properties
- Formation energy: 246 meV per atom
- Offset from the most stable computed form: 48.2 kJ/mol of atoms


Entry 9:
## LaIn4Sn (PBE)

Data for crystalline LaIn4Sn at its relaxed geometry.

a b c (Å): 6.169 6.169 6.169
angles (deg): 60.00 60.00 60.00
Atoms (fractional coordinates):
In 0.625 0.625 0.625
In 0.625 0.625 0.124
In 0.124 0.625 0.625
In 0.625 0.124 0.625
La 0.250 0.250 0.250
Sn 0.000 0.000 0.000

## Properties
- Formation energy: -174 meV per atom


Entry 10:
## LaInSn4 (PBE)

Data for crystalline LaInSn4 at its relaxed geometry.

a b c (Å): 6.242 6.242 6.242
angles (deg): 60.00 60.00 60.00
Atoms (fractional coordinates):
Sn 0.625 0.625 0.625
Sn 0.125 0.625 0.625
Sn 0.625 0.625 0.125
Sn 0.625 0.125 0.625
In 0.000 0.000 0.000
La 0.250 0.250 0.250

## Properties
- Formation energy: -263 meV per atom


Entry 11:
## LaInSn3 (PBE)

Data for crystalline LaInSn3 at its relaxed geometry.

a b c (Å): 8.983 6.605 6.583
angles (deg): 120.08 90.30 42.51
Atoms (fractional coordinates):
Sn 0.000 0.500 0.500
Sn 0.000 0.000 0.500
Sn 0.000 0.500 0.000
In 0.500 0.000 0.000
La 0.000 0.000 0.000

## Properties
- Formation energy: -57 meV per atom
- Offset from the most stable computed form: 28.3 kJ/mol of atoms


Entry 12:
## La6In3Sn (PBE)

Data for crystalline La6In3Sn at its relaxed geometry.

a b c (Å): 8.789 8.391 9.181
angles (deg): 90.00 83.32 90.00
Atoms (fractional coordinates):
La 0.352 0.866 0.056
La 0.763 0.398 0.224
La 0.177 0.312 0.086
La 0.648 0.134 0.944
La 0.737 0.898 0.276
La 0.677 0.188 0.586
La 0.148 0.366 0.444
La 0.323 0.812 0.414
La 0.852 0.634 0.556
La 0.237 0.602 0.776
La 0.263 0.102 0.724
La 0.823 0.688 0.914
In 0.500 0.500 0.000
In 0.000 0.000 0.500
In 0.547 0.834 0.706
In 0.953 0.334 0.794
In 0.047 0.666 0.206
In 0.453 0.166 0.294
Sn 0.500 0.500 0.500
Sn 0.000 0.000 0.000

## Properties
- Formation energy: -315 meV per atom


Among the records above, which one has the highest formation energy?
number 8


formation energy of number 2 (LaIn3Sn2)?
-262 meV per atom


Among the records above, which one has the lowest formation energy?
La4InSn5